1.
Computed, not measured: an optimized crystal structure of LaLuZn at the PBE-GGA level of DFT.

Summary:
* total energy: -0.1307 hartree per atom
* energy of formation: 0.02 eV/atom

Unit cell a=4.996 b=4.996 c=4.996 alpha=60.00 beta=60.00 gamma=60.00
Atoms (fractional coordinates):
Zn (0.000, 0.000, 0.000)
Lu (0.750, 0.750, 0.750)
La (0.250, 0.250, 0.250)

=====

2.
Computed, not measured: an optimized crystal structure of KRb2NbTe4 at the PBE-GGA level of DFT.

Summary:
* total energy: -0.1468 hartree per atom

Unit cell a=7.647 b=7.647 c=7.647 alpha=108.52 beta=108.52 gamma=111.38
Atoms (fractional coordinates):
Te (0.994, 0.994, 0.342)
Rb (0.500, 0.000, 0.500)
Te (0.006, 0.348, 0.000)
K (0.500, 0.500, 0.000)
Te (0.652, 0.652, 0.658)
Rb (0.000, 0.500, 0.500)
Nb (0.000, 0.000, 0.000)
Te (0.348, 0.006, 0.000)

=====

3.
Computed, not measured: an optimized crystal structure of TcNiBiW at the PBE-GGA level of DFT.

Summary:
* total energy: -0.2788 hartree per atom

Unit cell a=4.537 b=4.537 c=4.537 alpha=60.00 beta=60.00 gamma=60.00
Atoms (fractional coordinates):
W (0.500, 0.500, 0.500)
Tc (0.250, 0.250, 0.250)
Ni (0.750, 0.750, 0.750)
Bi (0.000, 0.000, 0.000)